# KRb2GaH6

A relaxed structure of KRb2GaH6 (PBE-GGA, Alexandria via LeMat-Bulk).

Unit cell a=5.980 b=5.980 c=6.427 alpha=90.00 beta=90.00 gamma=120.00
Positions (direct):
K (0.000, 0.000, 0.000)
Rb (0.333, 0.667, 0.638)
Rb (0.667, 0.333, 0.362)
Ga (0.000, 0.000, 0.500)
H (0.141, 0.281, 0.335)
H (0.141, 0.859, 0.335)
H (0.281, 0.141, 0.665)
H (0.719, 0.859, 0.335)
H (0.859, 0.141, 0.665)
H (0.859, 0.719, 0.665)

Summary:
* magnetization: 0.00 μB per cell
* uncorrected energy: -2.72 eV per atom

***

# KRbGaH6

A relaxed structure of KRbGaH6 (PBE-GGA, Alexandria via LeMat-Bulk).

Unit cell a=5.606 b=5.606 c=4.574 alpha=90.06 beta=90.06 gamma=60.00
Positions (direct):
K (0.000, 0.000, 0.000)
Rb (0.666, 0.666, 0.452)
Ga (0.333, 0.333, 0.737)
H (0.040, 0.481, 0.952)
H (0.185, 0.185, 0.519)
H (0.186, 0.627, 0.518)
H (0.481, 0.040, 0.952)
H (0.481, 0.481, 0.951)
H (0.627, 0.186, 0.518)

Summary:
* magnetization: 0.00 μB per cell
* uncorrected energy: -2.72 eV per atom